# ReAs2BrCl GGA-PBE relaxed
data_ReAs2BrCl
_space_group_name_H-M_alt 'P 4/m m m'
_space_group_IT_number 123
_space_group_name_Hall '-P 4 2'
_cell_length_a 4.977
_cell_length_b 4.977
_cell_length_c 4.897
_cell_angle_alpha 90.00
_cell_angle_beta 90.00
_cell_angle_gamma 90.00
loop_
_atom_site_label
_atom_site_fract_x
_atom_site_fract_y
_atom_site_fract_z
Re1 0.000 0.000 0.000
As1 0.000 0.500 0.500
Br1 0.500 0.500 0.000
Cl1 0.500 0.500 0.500
# Total magnetic moment ... 3.75 μB per cell
# Excess energy over the best structure of this formula in the dataset ... 136.2 kJ per mole of atoms
# Formation energy without anion corrections ... 868 kJ/mol of formula units